La2ZrCo | PBE-GGA | optimized geometry

Output
Its total energy is -6.215 eV/atom. The calculation puts the formation energy from the elements at 0.162 eV/atom. The offset from the most stable computed form comes out at 155.5 meV per atom. Its density of states at the Fermi level is 4.72 states/eV/cell. The volume comes out at 100.6 Å³/cell.

a b c (Å): 6.015 6.015 6.015
angles (deg): 144.70 125.80 66.35
Fractional coordinates of all 4 atoms:
La1 0.194 0.194 0.000
La2 0.806 0.806 0.000
Zr1 0.500 0.000 0.500
Co1 0.000 0.500 0.500

***

H4Pd3Rh | PBE-GGA | optimized geometry

Output
Its total energy is -4.592 eV/atom. Its density of states at the Fermi level is 5.06 states/eV/cell. The volume comes out at 150.3 Å³/cell.

a b c (Å): 5.878 5.105 5.008
angles (deg): 90.00 90.00 90.00
Fractional coordinates of all 16 atoms:
H1 0.000 0.152 0.000
H2 0.000 0.835 0.517
H3 0.238 0.676 0.000
H4 0.262 0.324 0.500
H5 0.500 0.165 0.017
H6 0.500 0.848 0.500
H7 0.738 0.324 0.500
H8 0.762 0.676 0.000
Pd1 0.000 0.166 0.365
Pd2 0.250 0.334 0.865
Pd3 0.250 0.666 0.365
Pd4 0.500 0.834 0.865
Pd5 0.750 0.334 0.865
Pd6 0.750 0.666 0.365
Rh1 0.000 0.835 0.865
Rh2 0.500 0.165 0.365

***

ZnCoAgH2 | PBE-GGA | optimized geometry

Output
Its total energy is -2.772 eV/atom. Its density of states at the Fermi level is 3.39 states/eV/cell. The volume comes out at 69.3 Å³/cell.

a b c (Å): 3.537 3.537 5.538
angles (deg): 90.00 90.00 90.00
Fractional coordinates of all 5 atoms:
Zn1 0.000 0.000 0.000
Co1 0.500 0.500 0.500
Ag1 0.000 0.000 0.500
H1 0.000 0.500 0.000
H2 0.500 0.000 0.000

***

Nd4SmEr7 | PBE-GGA | optimized geometry

Output
Its total energy is -4.558 eV/atom. The calculation puts the formation energy from the elements at 0.086 eV/atom. The offset from the most stable computed form comes out at 0.0 meV per atom. Its density of states at the Fermi level is 19.16 states/eV/cell. The volume comes out at 391.9 Å³/cell.

a b c (Å): 6.586 6.858 9.031
angles (deg): 84.14 77.19 81.04
Fractional coordinates of all 12 atoms:
Nd1 0.138 0.305 0.288
Nd2 0.334 0.887 0.690
Nd3 0.666 0.113 0.310
Nd4 0.862 0.695 0.712
Sm1 0.500 0.500 0.000
Er1 0.013 0.251 0.952
Er2 0.180 0.795 0.355
Er3 0.314 0.395 0.619
Er4 0.500 0.000 0.000
Er5 0.686 0.605 0.381
Er6 0.820 0.205 0.645
Er7 0.987 0.749 0.048

***

Pm5PtPb2 | PBE-GGA | optimized geometry

Output
Its total energy is -5.316 eV/atom. The calculation puts the formation energy from the elements at -0.665 eV/atom. Its density of states at the Fermi level is 18.71 states/eV/cell. The volume comes out at 489.7 Å³/cell.

a b c (Å): 8.219 12.675 4.701
angles (deg): 90.00 90.00 90.00
Fractional coordinates of all 16 atoms:
Pm1 0.000 0.000 0.000
Pm2 0.145 0.292 0.000
Pm3 0.184 0.565 0.500
Pm4 0.316 0.065 0.500
Pm5 0.355 0.792 0.000
Pm6 0.500 0.500 0.000
Pm7 0.645 0.208 0.000
Pm8 0.684 0.935 0.500
Pm9 0.816 0.435 0.500
Pm10 0.855 0.708 0.000
Pt1 0.000 0.500 0.000
Pt2 0.500 0.000 0.000
Pb1 0.075 0.829 0.500
Pb2 0.425 0.329 0.500
Pb3 0.575 0.671 0.500
Pb4 0.925 0.171 0.500

***

K2Tl2Ag | PBE-GGA | optimized geometry

Output
Its total energy is -1.710 eV/atom. The calculation puts the formation energy from the elements at 0.245 eV/atom. The offset from the most stable computed form comes out at 243.5 meV per atom. Its density of states at the Fermi level is 5.59 states/eV/cell. The volume comes out at 389.1 Å³/cell.

a b c (Å): 8.571 8.571 5.297
angles (deg): 90.00 90.00 90.00
Fractional coordinates of all 10 atoms:
K1 0.151 0.349 0.000
K2 0.349 0.849 0.000
K3 0.651 0.151 0.000
K4 0.849 0.651 0.000
Tl1 0.155 0.655 0.500
Tl2 0.345 0.155 0.500
Tl3 0.655 0.845 0.500
Tl4 0.845 0.345 0.500
Ag1 0.000 0.000 0.000
Ag2 0.500 0.500 0.000

***

Y2Ga3Cu4Ge | PBE-GGA | optimized geometry

Output
Its total energy is -4.734 eV/atom. The calculation puts the formation energy from the elements at -0.433 eV/atom. Its density of states at the Fermi level is 5.57 states/eV/cell. The volume comes out at 172.9 Å³/cell.

a b c (Å): 4.155 4.155 10.018
angles (deg): 90.00 90.00 90.00
Fractional coordinates of all 10 atoms:
Y1 0.000 0.500 0.248
Y2 0.500 0.000 0.752
Ga1 0.000 0.500 0.870
Ga2 0.500 0.000 0.130
Ga3 0.500 0.500 0.500
Cu1 0.000 0.000 0.000
Cu2 0.000 0.500 0.633
Cu3 0.500 0.000 0.367
Cu4 0.500 0.500 0.000
Ge1 0.000 0.000 0.500

***

Ba2InRe | PBE-GGA | optimized geometry

Output
Its total energy is -3.823 eV/atom. The calculation puts the formation energy from the elements at 0.935 eV/atom. Its density of states at the Fermi level is 5.27 states/eV/cell. The volume comes out at 129.1 Å³/cell.

a b c (Å): 11.032 11.032 11.032
angles (deg): 19.37 19.37 19.37
Fractional coordinates of all 4 atoms:
Ba1 0.237 0.237 0.237
Ba2 0.763 0.763 0.763
In1 0.000 0.000 0.000
Re1 0.500 0.500 0.500

***

total energy of number 7 (Y2Ga3Cu4Ge)?
-4.734 eV/atom